1.
CaAcCdSn: relaxed, GGA-PBE.

**Calculated formation energy**: -510 meV per atom

Cell and atoms, written as CIF:
```
data_CaAcCdSn
_space_group_name_H-M_alt 'F -4 3 m'
_space_group_IT_number 216
_space_group_name_Hall 'F -4 2 3'
_cell_length_a 7.960
_cell_length_b 7.960
_cell_length_c 7.960
_cell_angle_alpha 90.00
_cell_angle_beta 90.00
_cell_angle_gamma 90.00
loop_
_atom_site_label
_atom_site_type_symbol
_atom_site_fract_x
_atom_site_fract_y
_atom_site_fract_z
_atom_site_occupancy
Ca1 Ca 0.000 0.000 0.000 1
Ac1 Ac 0.000 0.000 0.500 1
Cd1 Cd 0.250 0.250 0.250 1
Sn1 Sn 0.250 0.250 0.750 1
```



2.
SrCaAcCd: relaxed, GGA-PBE.

**Energy relative to the lowest polymorph listed for this composition**: 0.109 eV/atom
**Calculated formation energy**: -32 meV per atom

Cell and atoms, written as CIF:
```
data_SrCaAcCd
_space_group_name_H-M_alt 'F -4 3 m'
_space_group_IT_number 216
_space_group_name_Hall 'F -4 2 3'
_cell_length_a 8.489
_cell_length_b 8.489
_cell_length_c 8.489
_cell_angle_alpha 90.00
_cell_angle_beta 90.00
_cell_angle_gamma 90.00
loop_
_atom_site_label
_atom_site_type_symbol
_atom_site_fract_x
_atom_site_fract_y
_atom_site_fract_z
_atom_site_occupancy
Sr1 Sr 0.000 0.000 0.000 1
Ca1 Ca 0.250 0.250 0.750 1
Ac1 Ac 0.000 0.000 0.500 1
Cd1 Cd 0.250 0.250 0.250 1
```



3.
SrCaAcCd: relaxed, GGA-PBE.

**Energy relative to the lowest polymorph listed for this composition**: 0.000 eV/atom
**Calculated formation energy**: -142 meV per atom

Cell and atoms, written as CIF:
```
data_SrCaAcCd
_space_group_name_H-M_alt 'P 4 m m'
_space_group_IT_number 99
_cell_length_a 4.018
_cell_length_b 4.018
_cell_length_c 9.923
_cell_angle_alpha 90.00
_cell_angle_beta 90.00
_cell_angle_gamma 90.00
loop_
_space_group_symop_operation_xyz
'x,y,z'
'-y,x,z'
'-x,-y,z'
'y,-x,z'
'-x,y,z'
'y,x,z'
'x,-y,z'
'-y,-x,z'
loop_
_atom_site_label
_atom_site_type_symbol
_atom_site_fract_x
_atom_site_fract_y
_atom_site_fract_z
_atom_site_occupancy
Sr1 Sr 0.000 0.000 0.000 1
Ca1 Ca 0.500 0.500 0.304 1
Ac1 Ac 0.000 0.000 0.588 1
Cd1 Cd 0.500 0.500 0.795 1
```



4.
SrCa2AcCd4: relaxed, GGA-PBE.

**Calculated formation energy**: -342 meV per atom

Cell and atoms, written as CIF:
```
data_SrCa2AcCd4
_space_group_name_H-M_alt 'R -3 m'
_space_group_IT_number 166
_space_group_name_Hall '-R 3 2"'
_cell_length_a 5.6088
_cell_length_b 5.6088
_cell_length_c 27.4734
_cell_angle_alpha 90.00
_cell_angle_beta 90.00
_cell_angle_gamma 120.00
loop_
_atom_site_label
_atom_site_type_symbol
_atom_site_fract_x
_atom_site_fract_y
_atom_site_fract_z
_atom_site_occupancy
Sr1 Sr 0.0000 0.0000 0.0000 1
Ca1 Ca 0.0000 0.0000 0.2511 1
Ac1 Ac 0.0000 0.0000 0.5000 1
Cd1 Cd 0.0000 0.0000 0.1241 1
Cd2 Cd 0.0000 0.0000 0.3745 1
```